w.
{"formula": "CsTaPb2", "functional": "PBE-GGA", "state": "relaxed", "lattice": [[5.588, 0.000, 0.000], [2.794, 4.839, 0.000], [2.794, 1.613, 4.562]], "species": ["Pb", "Pb", "Cs", "Ta"], "fractional_positions": [[0.250, 0.250, 0.250], [0.750, 0.750, 0.750], [0.000, 0.000, 0.000], [0.500, 0.500, 0.500]], "sg": "Fm-3m, No. 225"}

=====

x.
{"formula": "CsTaPb2", "functional": "PBE-GGA", "state": "relaxed", "lattice": [[-3.694, -3.259, -5.196], [5.967, -0.504, -3.925], [2.755, -9.119, -1.172]], "species": ["Pb", "Pb", "Pb", "Pb", "Cs", "Cs", "Ta", "Ta"], "fractional_positions": [[0.872, 0.125, 0.250], [0.878, 0.625, 0.250], [0.375, 0.128, 0.750], [0.875, 0.122, 0.750], [0.500, 0.500, 0.000], [0.250, 0.750, 0.500], [0.000, 0.000, 0.000], [0.750, 0.250, 0.500]], "sg": "I-42d, No. 122"}

=====

Energetically preferred structure: x | next structure: +421 meV/atom

=====

w.
{"formula": "CsTbPb2", "functional": "PBE-GGA", "state": "relaxed", "lattice": [[3.845, 0.000, 0.000], [1.923, 3.330, 0.000], [1.923, 1.110, 11.402]], "species": ["Pb", "Pb", "Cs", "Tb"], "fractional_positions": [[0.740, 0.740, 0.781], [0.260, 0.260, 0.219], [0.500, 0.500, 0.500], [0.000, 0.000, 0.000]], "sg": "R-3m, No. 166"}

=====

x.
{"formula": "CsTbPb2", "functional": "PBE-GGA", "state": "relaxed", "lattice": [[4.179, 0.000, 0.000], [0.000, 4.179, 0.000], [0.000, 0.000, 8.641]], "species": ["Pb", "Pb", "Cs", "Tb"], "fractional_positions": [[0.000, 0.000, 0.821], [0.000, 0.000, 0.179], [0.500, 0.500, 0.500], [0.500, 0.500, 0.000]], "sg": "P4/mmm, No. 123"}

=====

Energetically preferred structure: x | next structure: +181 meV/atom